# 1
## NdEu2 (PBE)

Data for crystalline NdEu2 at its relaxed geometry.

The space group is Fd-3m (No. 227, origin choice 2) and the conventional cell measures 9.863, 9.863 and 9.863 Å, with angles of 90.00, 90.00 and 90.00 degrees. The inequivalent atoms are Nd at (0.125, 0.125, 0.125) and Eu at (0.000, 0.000, 0.500).

The calculation puts the energy above the lowest structure with this stoichiometry at 213 meV/atom. The value obtained for the formation energy is 269 meV/atom. For the final energy, the calculation gives -8.1699 eV per atom. The density of states at the Fermi level is 46.4 states/eV per cell.



# 2
## NdEu2 (PBE)

Data for crystalline NdEu2 at its relaxed geometry.

The space group is I4/mmm (No. 139) and the conventional cell measures 3.782, 3.782 and 16.346 Å, with angles of 90.00, 90.00 and 90.00 degrees. The inequivalent atoms are Nd at (0.000, 0.000, 0.000) and Eu at (0.000, 0.000, 0.337).

The calculation puts the energy above the lowest structure with this stoichiometry at 0 meV/atom. The value obtained for the formation energy is 56 meV/atom. For the final energy, the calculation gives -8.3831 eV per atom. The density of states at the Fermi level is 7.0 states/eV per cell.



# 3
## NdEu3 (PBE)

Data for crystalline NdEu3 at its relaxed geometry.

The space group is Imm2 (No. 44) and the conventional cell measures 3.826, 12.430 and 6.670 Å, with angles of 90.00, 90.00 and 90.00 degrees. The inequivalent atoms are Nd at (0.000, 0.000, 0.000), Eu at (0.000, 0.253, 0.334) and Eu at (0.000, 0.500, 0.998).

The calculation puts the energy above the lowest structure with this stoichiometry at 0 meV/atom. The value obtained for the formation energy is 64 meV/atom. For the final energy, the calculation gives -8.8337 eV per atom. The density of states at the Fermi level is 10.0 states/eV per cell.



# 4
## Nd2Eu (PBE)

Data for crystalline Nd2Eu at its relaxed geometry.

The space group is Fd-3m (No. 227, origin choice 2) and the conventional cell measures 9.840, 9.840 and 9.840 Å, with angles of 90.00, 90.00 and 90.00 degrees. The inequivalent atoms are Nd at (0.000, 0.000, 0.000) and Eu at (0.125, 0.125, 0.625).

The calculation puts the energy above the lowest structure with this stoichiometry at 173 meV/atom. The value obtained for the formation energy is 199 meV/atom. For the final energy, the calculation gives -6.4045 eV per atom. The density of states at the Fermi level is 85.4 states/eV per cell.



# 5
## NdEuNi4 (PBE)

Data for crystalline NdEuNi4 at its relaxed geometry.

The space group is F-43m (No. 216) and the conventional cell measures 7.298, 7.298 and 7.298 Å, with angles of 90.00, 90.00 and 90.00 degrees. The inequivalent atoms are Nd at (0.000, 0.000, 0.000), Eu at (0.250, 0.250, 0.750) and Ni at (0.125, 0.125, 0.375).

The value obtained for the formation energy is -255 meV/atom. For the final energy, the calculation gives -6.6163 eV per atom. The density of states at the Fermi level is 54.5 states/eV per cell.